A relaxed V3OsW2 crystal. Source: the Alexandria database, functional GGA-PBE.

```
V3OsW2
1.0
4.3359 0.0000 0.0172
2.1679 6.4910 0.0086
-0.0241 0.0000 6.1227
W V Os
4 6 2
Direct
0.0000 0.0000 0.0000
0.6671 0.6657 0.5000
0.3329 0.3343 0.5000
0.0000 0.0000 0.5000
0.1673 0.6655 0.7513
0.8327 0.3345 0.2487
0.8328 0.3345 0.7513
0.5000 0.0000 0.7514
0.5000 0.0000 0.2486
0.1672 0.6655 0.2487
0.3332 0.3337 0.0000
0.6668 0.6663 0.0000
```

- Volume: 14.36 Å³ per atom
- Energy of formation: -0.217 eV/atom
- SG: Cmmm
- Distance to the lowest polymorph of the same formula: 0 meV per atom